An optimized crystal structure of KZrPt2, computed with PBE. Values from VASP.

Values from the calculation:
Crystal system ... tetragonal
Space-group type ... P4/mmm, No. 123
Calculated density ... 10.63 g/cm³
Energy relative to the elements ... -0.198 eV per atom
Total energy ... -5.6301 eV per atom
Offset from the most stable computed form ... 415 meV per atom

Cell and atoms, written as Quantum ESPRESSO input:
```
&SYSTEM
  ibrav = 0, nat = 4, ntyp = 3
/
ATOMIC_SPECIES
Zr 91.22 Zr.upf
Pt 195.08 Pt.upf
K 39.10 K.upf
CELL_PARAMETERS angstrom
-0.212 -2.790 0.727
2.354 1.030 4.639
-4.736 0.932 2.196
ATOMIC_POSITIONS angstrom
Zr 1.071 -0.880 2.683
Pt 0.000 0.000 0.000
Pt -1.191 0.981 3.417
K -2.474 -0.929 1.461
```